No. 1
First-principles (PBE-GGA) data for a relaxed structure of Ba2AgHg2, as listed in the Alexandria database.

## Properties
* uncorrected energy: -1.67 eV/atom
* energy of formation from the pure elements: -213 meV/atom
* Fermi-level density of states: 0.73 states/eV per atom

a = 9.208 Å, b = 9.208 Å, c = 4.602 Å
α = 90.00°, β = 90.00°, γ = 90.00°
Sites, in units of the cell vectors:
Ag  0.000  0.000  0.000
Ag  0.500  0.500  0.000
Hg  0.371  0.129  0.500
Hg  0.871  0.371  0.500
Hg  0.629  0.871  0.500
Hg  0.129  0.629  0.500
Ba  0.332  0.832  0.000
Ba  0.168  0.332  0.000
Ba  0.668  0.168  0.000
Ba  0.832  0.668  0.000



No. 2
First-principles (PBE-GGA) data for a relaxed structure of SiBAuC, as listed in the Alexandria database.

## Properties
* uncorrected energy: -5.80 eV/atom
* raw formation energy: 0.349 eV/atom
* Fermi-level density of states: 0.11 states/eV per atom

a = 3.710 Å, b = 2.769 Å, c = 5.565 Å
α = 90.00°, β = 104.82°, γ = 90.00°
Sites, in units of the cell vectors:
B  0.639  0.000  0.583
C  0.835  0.500  0.625
Au  0.553  0.500  0.199
Si  0.358  0.500  0.761



No. 3
First-principles (PBE-GGA) data for a relaxed structure of Th2TlZn, as listed in the Alexandria database.

## Properties
* uncorrected energy: -4.64 eV/atom
* energy of formation from the pure elements: -20 meV/atom
* Fermi-level density of states: 0.95 states/eV per atom

a = 3.493 Å, b = 3.493 Å, c = 10.730 Å
α = 80.63°, β = 80.63°, γ = 60.00°
Sites, in units of the cell vectors:
Th  0.743  0.743  0.772
Th  0.257  0.257  0.228
Tl  0.500  0.500  0.500
Zn  0.000  0.000  0.000



No. 4
First-principles (PBE-GGA) data for a relaxed structure of LiTbTmIr, as listed in the Alexandria database.

## Properties
* uncorrected energy: -5.56 eV/atom
* energy of formation from the pure elements: -591 meV/atom
* Fermi-level density of states: 0.71 states/eV per atom

a = 4.892 Å, b = 4.892 Å, c = 4.892 Å
α = 60.00°, β = 60.00°, γ = 60.00°
Sites, in units of the cell vectors:
Tb  0.750  0.750  0.750
Tm  0.250  0.250  0.250
Ir  0.500  0.500  0.500
Li  0.000  0.000  0.000



No. 5
First-principles (PBE-GGA) data for a relaxed structure of CaAgAu, as listed in the Alexandria database.

## Properties
* uncorrected energy: -3.19 eV/atom
* energy of formation from the pure elements: -476 meV/atom
* Fermi-level density of states: 0.37 states/eV per atom

a = 5.371 Å, b = 5.371 Å, c = 5.371 Å
α = 138.92°, β = 138.88°, γ = 59.53°
Sites, in units of the cell vectors:
Ag  0.994  0.994  0.000
Ca  0.670  0.670  0.000
Au  0.335  0.335  0.000



No. 6
First-principles (PBE-GGA) data for a relaxed structure of Nd3Dy3Y5, as listed in the Alexandria database.

## Properties
* uncorrected energy: -4.69 eV/atom
* energy of formation from the pure elements: 806 meV/atom
* Fermi-level density of states: 1.48 states/eV per atom

a = 5.427 Å, b = 9.716 Å, c = 9.716 Å
α = 120.00°, β = 90.00°, γ = 90.00°
Sites, in units of the cell vectors:
Dy  0.000  0.541  0.000
Dy  0.000  0.000  0.541
Dy  0.000  0.459  0.459
Y  0.500  0.333  0.667
Y  0.500  0.260  0.260
Y  0.500  0.667  0.333
Y  0.500  0.740  0.000
Y  0.500  0.000  0.740
Nd  0.500  0.631  0.631
Nd  0.500  0.369  0.000
Nd  0.500  0.000  0.369



No. 7
First-principles (PBE-GGA) data for a relaxed structure of HfMn8Tc3, as listed in the Alexandria database.

## Properties
* uncorrected energy: -9.64 eV/atom
* energy of formation from the pure elements: -108 meV/atom
* Fermi-level density of states: 1.10 states/eV per atom

a = 4.711 Å, b = 4.711 Å, c = 7.768 Å
α = 90.00°, β = 90.00°, γ = 120.00°
Sites, in units of the cell vectors:
Mn  0.333  0.667  0.505
Mn  0.988  0.494  0.755
Mn  0.506  0.012  0.755
Mn  0.333  0.667  0.005
Mn  0.506  0.494  0.755
Mn  0.162  0.324  0.245
Mn  0.676  0.838  0.245
Mn  0.162  0.838  0.245
Tc  0.667  0.333  0.067
Tc  0.000  0.000  0.939
Tc  0.667  0.333  0.424
Hf  0.000  0.000  0.561



No. 8
First-principles (PBE-GGA) data for a relaxed structure of La5Sn3, as listed in the Alexandria database.

## Properties
* uncorrected energy: -5.27 eV/atom
* energy of formation from the pure elements: -693 meV/atom
* Fermi-level density of states: 1.18 states/eV per atom

a = 8.576 Å, b = 8.576 Å, c = 9.372 Å
α = 117.23°, β = 117.23°, γ = 90.00°
Sites, in units of the cell vectors:
Sn  0.871  0.371  0.000
Sn  0.129  0.629  0.000
Sn  0.371  0.129  0.000
Sn  0.629  0.871  0.000
Sn  0.250  0.250  0.500
Sn  0.750  0.750  0.500
La  0.982  0.822  0.303
La  0.500  0.500  0.000
La  0.482  0.982  0.303
La  0.678  0.518  0.697
La  0.178  0.678  0.697
La  0.000  0.000  0.000
La  0.822  0.322  0.303
La  0.322  0.482  0.303
La  0.518  0.018  0.697
La  0.018  0.178  0.697



No. 9
First-principles (PBE-GGA) data for a relaxed structure of Pm12Ho2Tm, as listed in the Alexandria database.

## Properties
* uncorrected energy: -4.38 eV/atom
* energy of formation from the pure elements: 327 meV/atom
* Fermi-level density of states: 1.28 states/eV per atom

a = 6.512 Å, b = 6.512 Å, c = 25.373 Å
α = 90.00°, β = 90.00°, γ = 90.00°
Sites, in units of the cell vectors:
Pm  0.668  0.168  0.438
Pm  0.000  0.000  0.785
Pm  0.500  0.500  0.663
Pm  0.183  0.683  0.114
Pm  0.832  0.668  0.438
Pm  0.168  0.668  0.562
Pm  0.683  0.817  0.114
Pm  0.817  0.683  0.886
Pm  0.832  0.332  0.562
Pm  0.000  0.000  0.337
Pm  0.332  0.832  0.438
Pm  0.500  0.500  0.215
Pm  0.332  0.168  0.562
Pm  0.500  0.500  0.785
Pm  0.183  0.317  0.886
Pm  0.683  0.183  0.886
Pm  0.317  0.817  0.886
Pm  0.817  0.317  0.114
Pm  0.168  0.332  0.438
Pm  0.317  0.183  0.114
Pm  0.000  0.000  0.663
Pm  0.000  0.000  0.215
Pm  0.668  0.832  0.562
Pm  0.500  0.500  0.337
Ho  0.500  0.000  0.272
Ho  0.000  0.500  0.272
Ho  0.500  0.000  0.728
Ho  0.000  0.500  0.728
Tm  0.000  0.500  0.000
Tm  0.500  0.000  0.000



No. 10
First-principles (PBE-GGA) data for a relaxed structure of DyTh2Se5, as listed in the Alexandria database.

## Properties
* uncorrected energy: -6.35 eV/atom
* raw formation energy: -1.741 eV/atom
* Fermi-level density of states: 0.22 states/eV per atom

a = 4.072 Å, b = 8.213 Å, c = 12.576 Å
α = 90.00°, β = 90.00°, γ = 90.00°
Sites, in units of the cell vectors:
Se  0.500  0.331  0.605
Se  0.000  0.686  0.694
Se  0.000  0.814  0.194
Se  0.000  0.186  0.806
Se  0.000  0.314  0.306
Se  0.000  0.000  0.500
Se  0.500  0.669  0.395
Se  0.500  0.169  0.105
Se  0.000  0.500  0.000
Se  0.500  0.831  0.895
Dy  0.000  0.500  0.500
Dy  0.000  0.000  0.000
Th  0.500  0.018  0.322
Th  0.500  0.982  0.678
Th  0.500  0.482  0.822
Th  0.500  0.518  0.178



No. 11
First-principles (PBE-GGA) data for a relaxed structure of NaPdNO2, as listed in the Alexandria database.

## Properties
* uncorrected energy: -3.34 eV/atom
* raw formation energy: 1.615 eV/atom
* Fermi-level density of states: 1.64 states/eV per atom

a = 4.102 Å, b = 4.102 Å, c = 4.137 Å
α = 90.00°, β = 90.00°, γ = 90.00°
Sites, in units of the cell vectors:
O  0.500  0.000  0.000
O  0.000  0.500  0.000
Na  0.000  0.000  0.000
N  0.000  0.000  0.500
Pd  0.500  0.500  0.500



No. 12
First-principles (PBE-GGA) data for a relaxed structure of Tl5SBr5, as listed in the Alexandria database.

## Properties
* uncorrected energy: -2.83 eV/atom
* raw formation energy: -0.615 eV/atom
* Fermi-level density of states: 0.10 states/eV per atom

a = 6.526 Å, b = 7.934 Å, c = 9.193 Å
α = 106.27°, β = 90.00°, γ = 114.29°
Sites, in units of the cell vectors:
Tl  0.500  0.000  0.000
Tl  0.134  0.269  0.850
Tl  0.167  0.334  0.335
Tl  0.866  0.731  0.150
Tl  0.833  0.666  0.665
S  0.000  0.000  0.000
Br  0.000  0.000  0.500
Br  0.323  0.646  0.145
Br  0.288  0.575  0.710
Br  0.677  0.354  0.855
Br  0.712  0.425  0.290



No. 13
First-principles (PBE-GGA) data for a relaxed structure of Zn2CdIr, as listed in the Alexandria database.

## Properties
* uncorrected energy: -3.06 eV/atom
* energy of formation from the pure elements: 20 meV/atom
* Fermi-level density of states: 0.36 states/eV per atom

a = 3.157 Å, b = 3.157 Å, c = 6.512 Å
α = 90.00°, β = 90.00°, γ = 90.00°
Sites, in units of the cell vectors:
Zn  0.500  0.500  0.215
Zn  0.000  0.000  0.987
Ir  0.500  0.500  0.791
Cd  0.000  0.000  0.508



No. 14
First-principles (PBE-GGA) data for a relaxed structure of Er6Ge2P3S, as listed in the Alexandria database.

## Properties
* uncorrected energy: -6.15 eV/atom
* raw formation energy: -1.398 eV/atom
* Fermi-level density of states: 0.30 states/eV per atom

a = 3.933 Å, b = 8.119 Å, c = 8.974 Å
α = 103.30°, β = 102.66°, γ = 90.00°
Sites, in units of the cell vectors:
P  0.836  0.165  0.671
P  0.500  0.500  0.000
P  0.164  0.835  0.329
Er  0.664  0.592  0.328
Er  0.999  0.254  0.998
Er  0.667  0.076  0.334
Er  0.001  0.746  0.002
Er  0.333  0.924  0.666
Er  0.336  0.408  0.672
Ge  0.167  0.333  0.333
Ge  0.833  0.667  0.667
S  0.500  0.000  0.000



No. 15
First-principles (PBE-GGA) data for a relaxed structure of Sn2GeOF, as listed in the Alexandria database.

## Properties
* uncorrected energy: -4.31 eV/atom
* raw formation energy: -0.415 eV/atom
* Fermi-level density of states: 0.49 states/eV per atom

a = 4.967 Å, b = 4.253 Å, c = 4.967 Å
α = 90.00°, β = 90.00°, γ = 90.00°
Sites, in units of the cell vectors:
Sn  0.000  0.000  0.500
Sn  0.500  0.000  0.000
F  0.500  0.500  0.500
O  0.000  0.000  0.000
Ge  0.000  0.500  0.000



No. 16
First-principles (PBE-GGA) data for a relaxed structure of HgAuCl2, as listed in the Alexandria database.

## Properties
* uncorrected energy: -1.94 eV/atom
* raw formation energy: -0.117 eV/atom
* Fermi-level density of states: 0.61 states/eV per atom

a = 3.732 Å, b = 4.137 Å, c = 7.779 Å
α = 91.95°, β = 90.00°, γ = 90.00°
Sites, in units of the cell vectors:
Hg  0.500  0.250  0.250
Au  0.500  0.750  0.750
Cl  0.000  0.919  0.944
Cl  0.000  0.581  0.556



No. 17
First-principles (PBE-GGA) data for a relaxed structure of LiZrNbO6, as listed in the Alexandria database.

## Properties
* uncorrected energy: -7.77 eV/atom
* raw formation energy: -2.185 eV/atom
* Fermi-level density of states: 0.56 states/eV per atom

a = 4.707 Å, b = 5.302 Å, c = 5.302 Å
α = 120.00°, β = 90.00°, γ = 90.00°
Sites, in units of the cell vectors:
O  0.266  0.638  0.005
O  0.266  0.995  0.634
O  0.734  0.995  0.362
O  0.734  0.638  0.634
O  0.734  0.366  0.005
O  0.266  0.366  0.362
Li  0.500  0.000  0.000
Nb  0.500  0.667  0.333
Zr  0.000  0.333  0.667



No. 18
First-principles (PBE-GGA) data for a relaxed structure of PuCuTeO6, as listed in the Alexandria database.

## Properties
* uncorrected energy: -7.08 eV/atom
* raw formation energy: -1.375 eV/atom
* Fermi-level density of states: 0.46 states/eV per atom

a = 5.569 Å, b = 5.569 Å, c = 8.968 Å
α = 90.00°, β = 90.00°, γ = 120.00°
Sites, in units of the cell vectors:
O  0.661  0.012  0.369
O  0.988  0.339  0.131
O  0.012  0.351  0.631
O  0.649  0.661  0.631
O  0.351  0.339  0.369
O  0.649  0.988  0.869
O  0.339  0.351  0.869
O  0.339  0.988  0.631
O  0.988  0.649  0.369
O  0.351  0.012  0.131
O  0.661  0.649  0.131
O  0.012  0.661  0.869
Pu  0.667  0.333  0.250
Pu  0.333  0.667  0.750
Cu  0.000  0.000  0.000
Cu  0.000  0.000  0.500
Te  0.667  0.333  0.750
Te  0.333  0.667  0.250



No. 19
First-principles (PBE-GGA) data for a relaxed structure of OsWCl2, as listed in the Alexandria database.

## Properties
* uncorrected energy: -7.09 eV/atom
* raw formation energy: -0.122 eV/atom
* Fermi-level density of states: 0.18 states/eV per atom

a = 3.538 Å, b = 3.538 Å, c = 8.991 Å
α = 89.16°, β = 89.16°, γ = 56.02°
Sites, in units of the cell vectors:
Cl  0.081  0.081  0.923
Cl  0.406  0.406  0.307
Os  0.357  0.357  0.557
W  0.656  0.656  0.713



No. 20
First-principles (PBE-GGA) data for a relaxed structure of Pm4CuIr3, as listed in the Alexandria database.

## Properties
* uncorrected energy: -6.79 eV/atom
* energy of formation from the pure elements: -584 meV/atom
* Fermi-level density of states: 0.58 states/eV per atom

a = 3.977 Å, b = 4.332 Å, c = 10.762 Å
α = 90.00°, β = 90.00°, γ = 90.00°
Sites, in units of the cell vectors:
Ir  0.000  0.000  0.413
Ir  0.500  0.000  0.931
Ir  0.000  0.500  0.583
Pm  0.000  0.500  0.854
Pm  0.500  0.000  0.643
Pm  0.000  0.000  0.141
Pm  0.500  0.500  0.365
Cu  0.500  0.500  0.070